[1]
A relaxed CsRbBi crystal, computed with PBE.

Cell lengths 6.456, 6.456, 6.456 Å; angles 60.00, 60.00, 60.00 degrees
Sites, in units of the cell vectors:
Cs (0.000, 0.000, 0.000)
Rb (0.500, 0.500, 0.500)
Bi (0.750, 0.750, 0.750)

* SG: F-43m
* polymorph energy (0 for the lowest one): 0.40 eV per formula unit
* energy relative to the elements: -204.1 meV per atom

***

[2]
A relaxed CsRb2Bi crystal, computed with PBE.

Cell lengths 13.563, 13.563, 13.563 Å; angles 154.06, 154.06, 37.02 degrees
Sites, in units of the cell vectors:
Cs (0.000, 0.000, 0.000)
Cs (0.750, 0.250, 0.500)
Rb (0.172, 0.625, 0.047)
Rb (0.375, 0.422, 0.547)
Rb (0.578, 0.125, 0.953)
Rb (0.875, 0.828, 0.453)
Bi (0.250, 0.750, 0.500)
Bi (0.500, 0.500, 0.000)

* SG: I-42d
* energy relative to the elements: -96.3 meV per atom

***

[3]
A relaxed Cs2RbBi2 crystal, computed with PBE.

Cell lengths 7.971, 7.971, 14.011 Å; angles 116.17, 116.17, 45.08 degrees
Sites, in units of the cell vectors:
Cs (0.011, 0.011, 0.182)
Cs (0.184, 0.184, 0.596)
Cs (0.816, 0.816, 0.404)
Cs (0.989, 0.989, 0.818)
Rb (0.285, 0.285, 0.133)
Rb (0.715, 0.715, 0.867)
Bi (0.385, 0.385, 0.926)
Bi (0.480, 0.480, 0.594)
Bi (0.520, 0.520, 0.406)
Bi (0.615, 0.615, 0.074)

* SG: C2/m
* polymorph energy (0 for the lowest one): 0.00 eV per formula unit
* energy relative to the elements: -310.9 meV per atom

***

[4]
A relaxed Cs2RbBi2 crystal, computed with PBE.

Cell lengths 11.648, 11.648, 3.644 Å; angles 90.00, 90.00, 90.00 degrees
Sites, in units of the cell vectors:
Cs (0.117, 0.383, 0.000)
Cs (0.383, 0.883, 0.000)
Cs (0.617, 0.117, 0.000)
Cs (0.883, 0.617, 0.000)
Rb (0.000, 0.000, 0.000)
Rb (0.500, 0.500, 0.000)
Bi (0.180, 0.680, 0.500)
Bi (0.320, 0.180, 0.500)
Bi (0.680, 0.820, 0.500)
Bi (0.820, 0.320, 0.500)

* SG: P4/mbm
* polymorph energy (0 for the lowest one): 0.69 eV per formula unit
* energy relative to the elements: -173.9 meV per atom

***

[5]
A relaxed CsRbBi crystal, computed with PBE.

Cell lengths 7.287, 7.287, 7.287 Å; angles 140.77, 140.77, 56.69 degrees
Sites, in units of the cell vectors:
Cs (0.000, 0.000, 0.000)
Rb (0.300, 0.300, 0.000)
Bi (0.661, 0.661, 0.000)

* SG: I4mm
* polymorph energy (0 for the lowest one): 0.38 eV per formula unit
* energy relative to the elements: -212.3 meV per atom

***

[6]
A relaxed CsRbBi2 crystal, computed with PBE.

Cell lengths 8.277, 8.277, 8.277 Å; angles 99.24, 99.24, 132.75 degrees
Sites, in units of the cell vectors:
Cs (0.000, 0.000, 0.000)
Cs (0.750, 0.250, 0.500)
Rb (0.250, 0.750, 0.500)
Rb (0.500, 0.500, 0.000)
Bi (0.133, 0.625, 0.008)
Bi (0.375, 0.383, 0.508)
Bi (0.617, 0.125, 0.992)
Bi (0.875, 0.867, 0.492)

* SG: I-42d
* polymorph energy (0 for the lowest one): 1.35 eV per formula unit
* energy relative to the elements: -6.6 meV per atom

***

[7]
A relaxed CsRb4Bi4 crystal, computed with PBE.

Cell lengths 11.880, 11.880, 7.522 Å; angles 90.00, 90.00, 90.00 degrees
Sites, in units of the cell vectors:
Cs (0.250, 0.250, 0.250)
Cs (0.750, 0.750, 0.750)
Rb (0.086, 0.646, 0.110)
Rb (0.146, 0.914, 0.610)
Rb (0.354, 0.586, 0.610)
Rb (0.414, 0.854, 0.110)
Rb (0.586, 0.146, 0.890)
Rb (0.646, 0.414, 0.390)
Rb (0.854, 0.086, 0.390)
Rb (0.914, 0.354, 0.890)
Bi (0.031, 0.598, 0.606)
Bi (0.098, 0.969, 0.106)
Bi (0.402, 0.531, 0.106)
Bi (0.469, 0.902, 0.606)
Bi (0.531, 0.098, 0.394)
Bi (0.598, 0.469, 0.894)
Bi (0.902, 0.031, 0.894)
Bi (0.969, 0.402, 0.394)

* SG: P4_2/n
* energy relative to the elements: -208.1 meV per atom

***

[8]
A relaxed CsRb2Bi crystal, computed with PBE.

Cell lengths 5.980, 5.980, 5.835 Å; angles 90.00, 90.00, 90.00 degrees
Sites, in units of the cell vectors:
Cs (0.000, 0.000, 0.000)
Rb (0.000, 0.500, 0.500)
Rb (0.500, 0.000, 0.500)
Bi (0.500, 0.500, 0.000)

* SG: P4/mmm
* energy relative to the elements: -176.5 meV per atom

***

[9]
A relaxed Cs8Rb2Bi crystal, computed with PBE.

Cell lengths 14.767, 14.767, 10.261 Å; angles 103.37, 103.37, 28.48 degrees
Sites, in units of the cell vectors:
Cs (0.007, 0.007, 0.210)
Cs (0.206, 0.206, 0.105)
Cs (0.387, 0.387, 0.714)
Cs (0.406, 0.406, 0.217)
Cs (0.594, 0.594, 0.783)
Cs (0.613, 0.613, 0.286)
Cs (0.794, 0.794, 0.895)
Cs (0.993, 0.993, 0.790)
Rb (0.195, 0.195, 0.596)
Rb (0.805, 0.805, 0.404)
Bi (0.500, 0.500, 0.000)

* SG: C2/m
* energy relative to the elements: -99.1 meV per atom

***

[10]
A relaxed CsRbBi crystal, computed with PBE.

Cell lengths 6.354, 6.354, 3.807 Å; angles 90.00, 90.00, 120.00 degrees
Sites, in units of the cell vectors:
Cs (0.000, 0.000, 0.000)
Rb (0.667, 0.333, 0.957)
Bi (0.333, 0.667, 0.484)

* SG: P3m1
* polymorph energy (0 for the lowest one): 0.22 eV per formula unit
* energy relative to the elements: -262.4 meV per atom

***

[11]
A relaxed CsRbBi4 crystal, computed with PBE.

Cell lengths 6.931, 6.931, 6.931 Å; angles 60.00, 60.00, 60.00 degrees
Sites, in units of the cell vectors:
Cs (0.000, 0.000, 0.000)
Rb (0.750, 0.750, 0.750)
Bi (0.375, 0.375, 0.375)
Bi (0.375, 0.375, 0.875)
Bi (0.375, 0.875, 0.375)
Bi (0.875, 0.375, 0.375)

* SG: F-43m
* energy relative to the elements: -251.5 meV per atom

***

[12]
A relaxed CsRb2Bi crystal, computed with PBE.

Cell lengths 11.766, 9.461, 11.507 Å; angles 90.00, 118.63, 90.00 degrees
Sites, in units of the cell vectors:
Cs (0.007, 0.001, 0.195)
Cs (0.007, 0.499, 0.695)
Cs (0.993, 0.501, 0.305)
Cs (0.993, 0.999, 0.805)
Rb (0.288, 0.164, 0.642)
Rb (0.288, 0.336, 0.142)
Rb (0.330, 0.743, 0.418)
Rb (0.330, 0.757, 0.918)
Rb (0.670, 0.243, 0.082)
Rb (0.670, 0.257, 0.582)
Rb (0.712, 0.664, 0.858)
Rb (0.712, 0.836, 0.358)
Bi (0.077, 0.649, 0.040)
Bi (0.077, 0.851, 0.540)
Bi (0.923, 0.149, 0.460)
Bi (0.923, 0.351, 0.960)

* SG: P2_1/c
* energy relative to the elements: -219.7 meV per atom